# PBE-GGA CaTh2Tl9, optimized geometry
# Energy of formation from the pure elements ... -2.14 eV per formula unit
# Total moment ... 0.00 μB/cell
# D(E_F) ... 5.64 states/eV per cell
# Electronic total energy ... -3.3568 eV per atom
data_CaTh2Tl9
_space_group_name_H-M_alt 'P 4/m m m'
_space_group_IT_number 123
_space_group_name_Hall '-P 4 2'
_cell_length_a 4.811
_cell_length_b 4.811
_cell_length_c 14.672
_cell_angle_alpha 90.00
_cell_angle_beta 90.00
_cell_angle_gamma 90.00
loop_
_atom_site_label
_atom_site_type_symbol
_atom_site_fract_x
_atom_site_fract_y
_atom_site_fract_z
Ca1 Ca 0.000 0.000 0.000
Th1 Th 0.000 0.000 0.339
Tl1 Tl 0.000 0.500 0.167
Tl2 Tl 0.000 0.500 0.500
Tl3 Tl 0.500 0.500 0.000
Tl4 Tl 0.500 0.500 0.333



# PBE-GGA YFe13, optimized geometry
# Energy of formation from the pure elements ... 0.54 eV per formula unit
# Total moment ... 245.99 μB/cell
# D(E_F) ... 103.33 states/eV per cell
# Electronic total energy ... -8.2812 eV per atom
data_YFe13
_space_group_name_H-M_alt 'F m -3 c'
_space_group_IT_number 226
_space_group_name_Hall '-F 4a 2 3'
_cell_length_a 11.445
_cell_length_b 11.445
_cell_length_c 11.445
_cell_angle_alpha 90.00
_cell_angle_beta 90.00
_cell_angle_gamma 90.00
loop_
_atom_site_label
_atom_site_type_symbol
_atom_site_fract_x
_atom_site_fract_y
_atom_site_fract_z
Y1 Y 0.250 0.250 0.250
Fe1 Fe 0.000 0.000 0.000
Fe2 Fe 0.000 0.117 0.181



The highest electronic total energy belongs to which entry? CaTh2Tl9



Which formula does entry 2 have? YFe13